Material: Tm4TlAg2Rh
Method: DFT, PBE
State: optimized geometry

The calculation puts the energy of formation at -4.041 eV per formula unit. The magnetic moment comes out at 0.0 Bohr magnetons per cell.

It has space group R-3m (No. 166, hexagonal axes), with a = 5.0678 Å, b = 5.0678 Å, c = 24.6339 Å, α = 90.00°, β = 90.00° and γ = 120.00°. The asymmetric unit holds Tm at (0.0000, 0.0000, 0.1150), Tm at (0.0000, 0.0000, 0.3681), Tl at (0.0000, 0.0000, 0.5000), Ag at (0.0000, 0.0000, 0.2439) and Rh at (0.0000, 0.0000, 0.0000).